# 1
{"formula": "NaSrHoBr6", "functional": "PBE", "state": "relaxed", "magnetic_moment_mub_per_fu": 0.00, "lattice": [[7.5270, 0.0000, 0.0000], [-3.7635, 6.5186, 0.0000], [0.0000, 0.0000, 13.1456]], "species": ["Na", "Na", "Sr", "Sr", "Ho", "Ho", "Br", "Br", "Br", "Br", "Br", "Br", "Br", "Br", "Br", "Br", "Br", "Br"], "frac_coords": [[0.0000, 0.0000, 0.0000], [0.0000, 0.0000, 0.5000], [0.3333, 0.6667, 0.2500], [0.6667, 0.3333, 0.7500], [0.3333, 0.6667, 0.7500], [0.6667, 0.3333, 0.2500], [0.0271, 0.3619, 0.6278], [0.0271, 0.6652, 0.8722], [0.3348, 0.3619, 0.8722], [0.3348, 0.9729, 0.6278], [0.3619, 0.0271, 0.1278], [0.3619, 0.3348, 0.3722], [0.6381, 0.6652, 0.6278], [0.6381, 0.9729, 0.8722], [0.6652, 0.0271, 0.3722], [0.6652, 0.6381, 0.1278], [0.9729, 0.3348, 0.1278], [0.9729, 0.6381, 0.3722]]}

# 2
{"formula": "Na2HoTlBr6", "functional": "PBE", "state": "relaxed", "magnetic_moment_mub_per_fu": 0.00, "lattice": [[3.7968, 2.1921, 6.9400], [-3.7968, 2.1921, 6.9400], [0.0000, -4.3841, 6.9400]], "species": ["Na", "Na", "Ho", "Tl", "Br", "Br", "Br", "Br", "Br", "Br"], "frac_coords": [[0.0000, 0.0000, 0.0000], [0.4851, 0.4851, 0.4851], [0.6781, 0.6781, 0.6781], [0.1953, 0.1953, 0.1953], [0.0587, 0.4307, 0.7567], [0.2865, 0.8566, 0.6334], [0.4307, 0.7567, 0.0587], [0.6334, 0.2865, 0.8566], [0.7567, 0.0587, 0.4307], [0.8566, 0.6334, 0.2865]]}

# 3
{"formula": "NaHoTl2Br6", "functional": "PBE", "state": "relaxed", "magnetic_moment_mub_per_fu": 0.00, "lattice": [[7.6689, 0.0000, 0.0000], [0.0000, 8.1199, 0.0000], [-7.5192, 0.0000, 11.0591]], "species": ["Na", "Na", "Ho", "Ho", "Tl", "Tl", "Tl", "Tl", "Br", "Br", "Br", "Br", "Br", "Br", "Br", "Br", "Br", "Br", "Br", "Br"], "frac_coords": [[0.0000, 0.0000, 0.0000], [0.0000, 0.5000, 0.5000], [0.5000, 0.0000, 0.5000], [0.5000, 0.5000, 0.0000], [0.2199, 0.0777, 0.7464], [0.2199, 0.4223, 0.2464], [0.7801, 0.5777, 0.7536], [0.7801, 0.9223, 0.2536], [0.1547, 0.1878, 0.4518], [0.1547, 0.3122, 0.9518], [0.2644, 0.7107, 0.4477], [0.2644, 0.7893, 0.9477], [0.3618, 0.0255, 0.2575], [0.3618, 0.4745, 0.7575], [0.6382, 0.5255, 0.2425], [0.6382, 0.9745, 0.7425], [0.7356, 0.2107, 0.0523], [0.7356, 0.2893, 0.5523], [0.8453, 0.6878, 0.0482], [0.8453, 0.8122, 0.5482]]}

# 4
{"formula": "Ho2NbBr", "functional": "PBE", "state": "relaxed", "magnetic_moment_mub_per_fu": 0.65, "lattice": [[1.6515, 0.9535, 10.6243], [-1.6515, 0.9535, 10.6243], [0.0000, -1.9070, 10.6243]], "species": ["Ho", "Ho", "Nb", "Br"], "frac_coords": [[0.0916, 0.0916, 0.0916], [0.9084, 0.9084, 0.9084], [0.0000, 0.0000, 0.0000], [0.5000, 0.5000, 0.5000]]}

Across the entries above, formation energy from raw total energies takes the values -1.880; -1.547; -1.424; 0.123 eV per atom, respectively.